# MnBi2OsO8 PBE with a Hubbard U relaxed
data_MnBi2OsO8
_chemical_formula_sum 'Mn1 Bi2 Os1 O8'
_symmetry_space_group_name_H-M 'P 1 2/m 1'
_symmetry_Int_Tables_number 10
_cell_length_a 4.992
_cell_length_b 6.822
_cell_length_c 4.995
_cell_angle_alpha 90.00
_cell_angle_beta 91.70
_cell_angle_gamma 90.00
loop_
_symmetry_equiv_pos_as_xyz
'x,y,z'
'-x,-y,-z'
'-x,y,-z'
'x,-y,z'
loop_
_atom_site_label
_atom_site_fract_x
_atom_site_fract_y
_atom_site_fract_z
Mn1 0.000 0.000 0.000
Bi1 0.500 0.245 0.500
Os1 0.000 0.500 0.000
O1 0.177 0.285 0.825
O2 0.265 0.500 0.269
O3 0.286 0.000 0.288
# **VASP energy**: -6.63 eV/atom